! PBE TeMo, relaxed; values from VASP
&SYSTEM
  ibrav = 0, nat = 8, ntyp = 2
/
ATOMIC_SPECIES
Te 127.60 Te.upf
Mo 95.94 Mo.upf
CELL_PARAMETERS angstrom
3.333 0.000 0.000
0.000 4.532 0.000
0.000 0.000 10.349
ATOMIC_POSITIONS crystal
Te 0.000 0.250 0.110
Te 0.000 0.750 0.890
Te 0.500 0.250 0.390
Te 0.500 0.750 0.610
Mo 0.000 0.250 0.617
Mo 0.000 0.750 0.383
Mo 0.500 0.250 0.883
Mo 0.500 0.750 0.117
! - energy (eV per cell) = -51.90
! - Fermi-level density of states (states/eV/cell) = 5.364
! - space-group type = Imma (74)
! - distance to the lowest polymorph of the same formula (meV per atom) = 513.3
! - raw formation energy (eV/atom) = 0.499